1.
The following is a DFT calculation (PBE-GGA) of crystalline Cd2CuTc at its relaxed geometry.

Values from the calculation:
**Energy above the lowest structure with this stoichiometry**: 52.7 meV/atom
**Calculated formation energy**: 0.351 eV/atom

Structure (CIF):
```
data_Cd2CuTc
_chemical_formula_sum 'Cd2 Cu1 Tc1'
_cell_length_a 4.118
_cell_length_b 4.118
_cell_length_c 3.965
_cell_angle_alpha 90.00
_cell_angle_beta 90.00
_cell_angle_gamma 90.00
_symmetry_space_group_name_H-M 'P 1'
_symmetry_Int_Tables_number 1
loop_
_symmetry_equiv_pos_as_xyz
'x,y,z'
loop_
_atom_site_label
_atom_site_fract_x
_atom_site_fract_y
_atom_site_fract_z
Cd1 0.000 0.500 0.000
Cd2 0.500 0.000 0.000
Cu1 0.000 0.000 0.500
Tc1 0.500 0.500 0.500
```

2.
The following is a DFT calculation (PBE-GGA) of crystalline Cd2CuTc at its relaxed geometry.

Values from the calculation:
**Energy above the lowest structure with this stoichiometry**: 106.8 meV/atom
**Calculated formation energy**: 0.405 eV/atom

Structure (CIF):
```
data_Cd2CuTc
_chemical_formula_sum 'Cd2 Cu1 Tc1'
_cell_length_a 5.057
_cell_length_b 5.057
_cell_length_c 5.129
_cell_angle_alpha 102.55
_cell_angle_beta 102.55
_cell_angle_gamma 31.80
_symmetry_space_group_name_H-M 'P 1'
_symmetry_Int_Tables_number 1
loop_
_symmetry_equiv_pos_as_xyz
'x,y,z'
loop_
_atom_site_label
_atom_site_fract_x
_atom_site_fract_y
_atom_site_fract_z
Cd1 0.239 0.239 0.246
Cd2 0.761 0.761 0.754
Cu1 0.500 0.500 0.000
Tc1 0.000 0.000 0.500
```

3.
The following is a DFT calculation (PBE-GGA) of crystalline TlCdCuTc2 at its relaxed geometry.

Values from the calculation:
**Calculated formation energy**: 1.238 eV/atom

Structure (CIF):
```
data_TlCdCuTc2
_chemical_formula_sum 'Tl1 Cd1 Cu1 Tc2'
_cell_length_a 4.685
_cell_length_b 4.685
_cell_length_c 4.759
_cell_angle_alpha 90.00
_cell_angle_beta 90.00
_cell_angle_gamma 90.00
_symmetry_space_group_name_H-M 'P 1'
_symmetry_Int_Tables_number 1
loop_
_symmetry_equiv_pos_as_xyz
'x,y,z'
loop_
_atom_site_label
_atom_site_fract_x
_atom_site_fract_y
_atom_site_fract_z
Tl1 0.000 0.000 0.000
Cd1 0.500 0.500 0.000
Cu1 0.500 0.500 0.500
Tc1 0.000 0.500 0.500
Tc2 0.500 0.000 0.500
```

4.
The following is a DFT calculation (PBE-GGA) of crystalline ZrCdCuTc2 at its relaxed geometry.

Values from the calculation:
**Calculated formation energy**: 1.491 eV/atom

Structure (CIF):
```
data_ZrCdCuTc2
_chemical_formula_sum 'Zr1 Cd1 Cu1 Tc2'
_cell_length_a 4.825
_cell_length_b 4.825
_cell_length_c 4.895
_cell_angle_alpha 90.00
_cell_angle_beta 90.00
_cell_angle_gamma 90.00
_symmetry_space_group_name_H-M 'P 1'
_symmetry_Int_Tables_number 1
loop_
_symmetry_equiv_pos_as_xyz
'x,y,z'
loop_
_atom_site_label
_atom_site_fract_x
_atom_site_fract_y
_atom_site_fract_z
Zr1 0.000 0.000 0.000
Cd1 0.500 0.500 0.500
Cu1 0.000 0.000 0.500
Tc1 0.000 0.500 0.000
Tc2 0.500 0.000 0.000
```

5.
The following is a DFT calculation (PBE-GGA) of crystalline CdCuTe at its relaxed geometry.

Values from the calculation:
**Uncorrected formation energy**: 0.0271 eV/atom
**Energy above the lowest structure with this stoichiometry**: 16.4 meV/atom

Structure (CIF):
```
data_CdCuTe
_chemical_formula_sum 'Cd1 Cu1 Te1'
_cell_length_a 4.286
_cell_length_b 4.286
_cell_length_c 4.382
_cell_angle_alpha 90.00
_cell_angle_beta 90.00
_cell_angle_gamma 120.00
_symmetry_space_group_name_H-M 'P 1'
_symmetry_Int_Tables_number 1
loop_
_symmetry_equiv_pos_as_xyz
'x,y,z'
loop_
_atom_site_label
_atom_site_fract_x
_atom_site_fract_y
_atom_site_fract_z
Cd1 0.000 0.000 0.000
Cu1 0.667 0.333 0.326
Te1 0.333 0.667 0.531
```

6.
The following is a DFT calculation (PBE-GGA) of crystalline CdCuTe2 at its relaxed geometry.

Values from the calculation:
**Uncorrected formation energy**: 0.1736 eV/atom

Structure (CIF):
```
data_CdCuTe2
_chemical_formula_sum 'Cd1 Cu1 Te2'
_cell_length_a 3.128
_cell_length_b 3.128
_cell_length_c 10.411
_cell_angle_alpha 90.00
_cell_angle_beta 90.00
_cell_angle_gamma 90.00
_symmetry_space_group_name_H-M 'P 1'
_symmetry_Int_Tables_number 1
loop_
_symmetry_equiv_pos_as_xyz
'x,y,z'
loop_
_atom_site_label
_atom_site_fract_x
_atom_site_fract_y
_atom_site_fract_z
Cd1 0.000 0.000 0.000
Cu1 0.500 0.500 0.167
Te1 0.000 0.000 0.355
Te2 0.500 0.500 0.721
```

7.
The following is a DFT calculation (PBE-GGA) of crystalline Cd3CuTe at its relaxed geometry.

Values from the calculation:
**Uncorrected formation energy**: 0.1870 eV/atom
**Energy above the lowest structure with this stoichiometry**: 0.0 meV/atom

Structure (CIF):
```
data_Cd3CuTe
_chemical_formula_sum 'Cd3 Cu1 Te1'
_cell_length_a 5.074
_cell_length_b 5.074
_cell_length_c 5.074
_cell_angle_alpha 90.00
_cell_angle_beta 90.00
_cell_angle_gamma 90.00
_symmetry_space_group_name_H-M 'P 1'
_symmetry_Int_Tables_number 1
loop_
_symmetry_equiv_pos_as_xyz
'x,y,z'
loop_
_atom_site_label
_atom_site_fract_x
_atom_site_fract_y
_atom_site_fract_z
Cd1 0.000 0.000 0.500
Cd2 0.000 0.500 0.000
Cd3 0.500 0.000 0.000
Cu1 0.000 0.000 0.000
Te1 0.500 0.500 0.500
```

8.
The following is a DFT calculation (PBE-GGA) of crystalline CdCu2Te at its relaxed geometry.

Values from the calculation:
**Uncorrected formation energy**: 0.2521 eV/atom
**Energy above the lowest structure with this stoichiometry**: 149.1 meV/atom

Structure (CIF):
```
data_CdCu2Te
_chemical_formula_sum 'Cd1 Cu2 Te1'
_cell_length_a 4.995
_cell_length_b 4.995
_cell_length_c 4.995
_cell_angle_alpha 129.53
_cell_angle_beta 126.41
_cell_angle_gamma 76.70
_symmetry_space_group_name_H-M 'P 1'
_symmetry_Int_Tables_number 1
loop_
_symmetry_equiv_pos_as_xyz
'x,y,z'
loop_
_atom_site_label
_atom_site_fract_x
_atom_site_fract_y
_atom_site_fract_z
Cd1 0.000 0.000 0.000
Cu1 0.248 0.748 0.500
Cu2 0.752 0.252 0.500
Te1 0.500 0.500 0.000
```

| no. | size of the total moment (μB/cell) | theoretical density (g/cm3) |
| --- | --- | --- |
| 1 | 0.43 | 9.54 |
| 2 | 0.00 | 9.53 |
| 3 | 4.27 | 9.16 |
| 4 | 2.90 | 6.75 |
| 5 | 0.00 | 7.23 |
| 6 | 0.00 | 7.03 |
| 7 | 0.00 | 6.72 |
| 8 | 0.00 | 8.11 |